Record 1
ZnCoPt2O | PBE+U | relaxed

Cell: 4.8439 4.8439 3.5209 Å, 90.00 90.00 90.00°
Closest atoms and distances in Å follow each position.
Positions (direct):
Zn  0.0000  0.0000  0.0000  2 O 1.76
Co  0.5000  0.5000  0.5000  8 Pt 2.99
Pt  0.0000  0.5000  0.0000  2 Zn 2.42
Pt  0.5000  0.0000  0.0000  2 Zn 2.42
O  0.0000  0.0000  0.5000  2 Zn 1.76

Results
Total moment (μB/cell): 2.395
Final energy (eV/cell): -19.970

Record 2
Pu3Co5O12 | PBE+U | relaxed

Cell: 10.7465 10.7465 10.7465 Å, 109.47 109.47 109.47°
Closest atoms and distances in Å follow each position.
Positions (direct):
Pu  0.1250  0.2500  0.3750  8 O 2.34-2.37
Pu  0.1250  0.3750  0.7500  8 O 2.34-2.37
Pu  0.2500  0.3750  0.1250  8 O 2.34-2.37
Pu  0.2500  0.8750  0.6250  8 O 2.34-2.37
Pu  0.3750  0.1250  0.2500  8 O 2.34-2.37
Pu  0.3750  0.7500  0.1250  8 O 2.34-2.37
Pu  0.6250  0.2500  0.8750  8 O 2.34-2.37
Pu  0.6250  0.8750  0.7500  8 O 2.34-2.37
Pu  0.7500  0.1250  0.3750  8 O 2.34-2.37
Pu  0.7500  0.6250  0.8750  8 O 2.34-2.37
Pu  0.8750  0.6250  0.2500  8 O 2.34-2.37
Pu  0.8750  0.7500  0.6250  8 O 2.34-2.37
Co  0.0000  0.0000  0.0000  6 O 2.05
Co  0.0000  0.0000  0.5000  6 O 2.05
Co  0.0000  0.5000  0.0000  6 O 2.05
Co  0.0000  0.5000  0.5000  6 O 2.05
Co  0.1250  0.7500  0.8750  4 O 1.92
Co  0.1250  0.8750  0.2500  4 O 1.92
Co  0.2500  0.1250  0.8750  4 O 1.92
Co  0.2500  0.6250  0.3750  4 O 1.92
Co  0.3750  0.2500  0.6250  4 O 1.92
Co  0.3750  0.6250  0.7500  4 O 1.92
Co  0.5000  0.0000  0.0000  6 O 2.05
Co  0.5000  0.0000  0.5000  6 O 2.05
Co  0.5000  0.5000  0.0000  6 O 2.05
Co  0.5000  0.5000  0.5000  6 O 2.05
Co  0.6250  0.3750  0.2500  4 O 1.92
Co  0.6250  0.7500  0.3750  4 O 1.92
Co  0.7500  0.3750  0.6250  4 O 1.92
Co  0.7500  0.8750  0.1250  4 O 1.92
Co  0.8750  0.1250  0.7500  4 O 1.92
Co  0.8750  0.2500  0.1250  4 O 1.92
O  0.0391  0.2139  0.1285  2 Co 1.92-2.05
O  0.0391  0.3252  0.9106  2 Co 1.92-2.05
O  0.0854  0.7139  0.6748  2 Co 1.92-2.05
O  0.0854  0.8715  0.4106  2 Co 1.92-2.05
O  0.0894  0.6285  0.4146  2 Co 1.92-2.05
O  0.0894  0.9609  0.6748  2 Co 1.92-2.05
O  0.1285  0.0391  0.2139  2 Co 1.92-2.05
O  0.1285  0.5894  0.9146  2 Co 1.92-2.05
O  0.1748  0.2139  0.5854  2 Co 1.92-2.05
O  0.1748  0.4609  0.5894  2 Co 1.92-2.05
O  0.2139  0.1285  0.0391  2 Co 1.92-2.05
O  0.2139  0.5854  0.1748  2 Co 1.92-2.05
O  0.2861  0.3252  0.9146  2 Co 1.92-2.05
O  0.2861  0.4609  0.3715  2 Co 1.92-2.05
O  0.3252  0.9106  0.0391  2 Co 1.92-2.05
O  0.3252  0.9146  0.2861  2 Co 1.92-2.05
O  0.3715  0.2861  0.4609  2 Co 1.92-2.05
O  0.3715  0.5854  0.9106  2 Co 1.92-2.05
O  0.4106  0.0854  0.8715  2 Co 1.92-2.05
O  0.4106  0.8252  0.5391  2 Co 1.92-2.05
O  0.4146  0.0894  0.6285  2 Co 1.92-2.05
O  0.4146  0.8252  0.7861  2 Co 1.92-2.05
O  0.4609  0.3715  0.2861  2 Co 1.92-2.05
O  0.4609  0.5894  0.1748  2 Co 1.92-2.05
O  0.5391  0.4106  0.8252  2 Co 1.92-2.05
O  0.5391  0.6285  0.7139  2 Co 1.92-2.05
O  0.5854  0.1748  0.2139  2 Co 1.92-2.05
O  0.5854  0.9106  0.3715  2 Co 1.92-2.05
O  0.5894  0.1748  0.4609  2 Co 1.92-2.05
O  0.5894  0.9146  0.1285  2 Co 1.92-2.05
O  0.6285  0.4146  0.0894  2 Co 1.92-2.05
O  0.6285  0.7139  0.5391  2 Co 1.92-2.05
O  0.6748  0.0854  0.7139  2 Co 1.92-2.05
O  0.6748  0.0894  0.9609  2 Co 1.92-2.05
O  0.7139  0.5391  0.6285  2 Co 1.92-2.05
O  0.7139  0.6748  0.0854  2 Co 1.92-2.05
O  0.7861  0.4146  0.8252  2 Co 1.92-2.05
O  0.7861  0.8715  0.9609  2 Co 1.92-2.05
O  0.8252  0.5391  0.4106  2 Co 1.92-2.05
O  0.8252  0.7861  0.4146  2 Co 1.92-2.05
O  0.8715  0.4106  0.0854  2 Co 1.92-2.05
O  0.8715  0.9609  0.7861  2 Co 1.92-2.05
O  0.9106  0.0391  0.3252  2 Co 1.92-2.05
O  0.9106  0.3715  0.5854  2 Co 1.92-2.05
O  0.9146  0.1285  0.5894  2 Co 1.92-2.05
O  0.9146  0.2861  0.3252  2 Co 1.92-2.05
O  0.9609  0.6748  0.0894  2 Co 1.92-2.05
O  0.9609  0.7861  0.8715  2 Co 1.92-2.05

Results
Total moment (μB/cell): 20.002
Final energy (eV/cell): -660.157

Record 3
Pu2CoO8 | PBE+U | relaxed

Cell: 5.3559 5.3559 7.4097 Å, 100.59 100.59 64.90°
Closest atoms and distances in Å follow each position.
Positions (direct):
Pu  0.1107  0.1107  0.2244  4 O 1.90-1.97
Pu  0.8893  0.8893  0.7756  4 O 1.90-1.97
Co  0.5000  0.5000  0.5000  6 O 1.86-1.91
O  0.0983  0.0983  0.8994  1 Pu 1.91
O  0.1863  0.6434  0.6235  1 Co 1.86, 1 Pu 1.97
O  0.3257  0.3257  0.3010  1 Pu 1.90, 1 Co 1.91
O  0.3566  0.8137  0.3765  1 Co 1.86, 1 Pu 1.97
O  0.6434  0.1863  0.6235  1 Co 1.86, 1 Pu 1.97
O  0.6743  0.6743  0.6990  1 Pu 1.90, 1 Co 1.91
O  0.8137  0.3566  0.3765  1 Co 1.86, 1 Pu 1.97
O  0.9017  0.9017  0.1006  1 Pu 1.91

Results
Total moment (μB/cell): 3.000
Final energy (eV/cell): -92.580

Record 4
Pu2CoO7 | PBE+U | relaxed

Cell: 3.3781 5.2195 9.0550 Å, 87.54 89.94 71.36°
Closest atoms and distances in Å follow each position.
Positions (direct):
Pu  0.0660  0.3659  0.2894  6 O 1.99-2.15
Pu  0.9340  0.6341  0.7106  6 O 1.99-2.15
Co  0.5000  0.5000  0.0000  6 O 2.12-2.14
O  0.0000  0.5000  0.5000  2 Pu 2.05
O  0.1130  0.2711  0.0785  1 Pu 1.99, 2 Co 2.14
O  0.3173  0.8677  0.6614  2 Pu 2.08-2.09
O  0.4448  0.6090  0.2235  1 Co 2.12, 2 Pu 2.14-2.15
O  0.5552  0.3910  0.7765  1 Co 2.12, 2 Pu 2.14-2.15
O  0.6827  0.1323  0.3386  2 Pu 2.08-2.09
O  0.8870  0.7289  0.9215  1 Pu 1.99, 2 Co 2.14

Results
Total moment (μB/cell): 7.000
Final energy (eV/cell): -89.449